[1]
First-principles (PBE-GGA) data for Cs2TaCuTe4 after structural relaxation, as listed in Alexandria via LeMat-Bulk.

Values from the calculation:
raw formation energy: -0.676 eV/atom

Lattice parameters (Å, degrees): 6.119 8.517 14.078 85.52 77.45 68.95
Positions (direct):
Cu 0.000 0.000 0.000
Cu 0.750 0.500 0.500
Te 0.598 0.191 0.111
Te 0.291 0.809 0.111
Te 0.211 0.191 0.889
Te 0.900 0.809 0.889
Te 0.152 0.309 0.389
Te 0.459 0.691 0.389
Te 0.850 0.691 0.611
Te 0.539 0.309 0.611
Cs 0.931 0.500 0.138
Cs 0.181 0.000 0.638
Cs 0.819 0.000 0.362
Cs 0.569 0.500 0.862
Ta 0.250 0.500 0.500
Ta 0.500 0.000 0.000


[2]
First-principles (PBE-GGA) data for Cs6GaI8 after structural relaxation, as listed in Alexandria via LeMat-Bulk.

Values from the calculation:
raw formation energy: -1.246 eV/atom

Lattice parameters (Å, degrees): 8.679 10.810 10.810 120.00 90.00 90.00
Positions (direct):
Cs 0.234 0.389 0.000
Cs 0.234 0.000 0.390
Cs 0.766 0.000 0.610
Cs 0.766 0.390 0.389
Cs 0.766 0.611 0.000
Cs 0.234 0.610 0.611
I 0.313 0.000 0.753
I 0.313 0.753 0.000
I 0.687 0.000 0.247
I 0.313 0.247 0.247
I 0.687 0.247 0.000
I 0.999 0.333 0.667
I 0.687 0.753 0.753
I 0.001 0.667 0.333
Ga 0.500 0.000 0.000


[3]
First-principles (PBE-GGA) data for NdMgGa2Pt5 after structural relaxation, as listed in Alexandria via LeMat-Bulk.

Values from the calculation:
energy relative to the elements: -6.3 eV per formula unit

Lattice parameters (Å, degrees): 4.169 4.169 9.474 90.00 90.00 90.00
Positions (direct):
Mg 0.000 0.000 0.000
Nd 0.000 0.000 0.500
Ga 0.500 0.500 0.873
Ga 0.500 0.500 0.127
Pt 0.000 0.500 0.269
Pt 0.500 0.000 0.731
Pt 0.500 0.500 0.500
Pt 0.000 0.500 0.731
Pt 0.500 0.000 0.269


[4]
First-principles (PBE-GGA) data for Be2NiSb after structural relaxation, as listed in Alexandria via LeMat-Bulk.

Values from the calculation:
raw formation energy: 0.360 eV/atom

Lattice parameters (Å, degrees): 5.068 5.068 3.232 67.54 67.54 111.28
Positions (direct):
Sb 0.000 0.500 0.500
Be 0.000 0.000 0.000
Be 0.500 0.500 0.000
Ni 0.500 0.000 0.500


The following energy values (in eV per cell) correspond, in order, to the records above: -71.27 -39.24 -48.94 -15.92.